# CoSeNF2 PBE+U optimized geometry
data_CoSeNF2
_symmetry_space_group_name_H-M 'P 4/m m m'
_symmetry_Int_Tables_number 123
_symmetry_space_group_name_Hall '-P 4 2'
_cell_length_a 3.800
_cell_length_b 3.800
_cell_length_c 4.385
_cell_angle_alpha 90.00
_cell_angle_beta 90.00
_cell_angle_gamma 90.00
loop_
_atom_site_label
_atom_site_type_symbol
_atom_site_fract_x
_atom_site_fract_y
_atom_site_fract_z
Co1 Co 0.000 0.000 0.000
Se1 Se 0.500 0.500 0.500
N1 N 0.000 0.000 0.500
F1 F 0.000 0.500 0.000
# offset from the most stable computed form = 0.0000 eV/atom